No. 1
Sr2LiGaSn6 PBE-GGA relaxed; ΔH_f (0 K) = -0.28 eV per atom
1.0
-6.1882 -1.8057 -3.1234
0.0146 -4.1091 -5.8673
-2.7167 -12.6656 4.4910
Sn Li Sr Ga
12 2 4 2
Direct
0.0768 0.6647 0.5937
0.7679 0.7679 0.1180
0.6647 0.6647 0.5937
0.7679 0.3462 0.1180
0.6647 0.0768 0.5937
0.6538 0.2321 0.8820
0.3353 0.3353 0.4063
0.3353 0.9232 0.4063
0.2321 0.2321 0.8820
0.9232 0.3353 0.4063
0.2321 0.6538 0.8820
0.3462 0.7679 0.1180
0.5000 0.5000 0.5000
0.0000 0.0000 0.0000
0.7102 0.7102 0.8695
0.2898 0.2898 0.1305
0.1103 0.1103 0.6692
0.8897 0.8897 0.3308
0.4311 0.4311 0.7066
0.5689 0.5689 0.2934

***

No. 2
Li2TbGaSn2 PBE-GGA relaxed; ΔH_f (0 K) = -0.45 eV per atom
1.0
4.4265 0.0000 0.0000
0.0000 7.2901 0.0000
0.0000 0.0000 8.5485
Ga Li Sn Tb
2 4 4 2
Direct
0.5000 0.6767 0.3398
0.5000 0.1767 0.6602
0.0000 0.3409 0.1530
0.5000 0.5167 0.9162
0.5000 0.0167 0.0838
0.0000 0.8409 0.8470
0.0000 0.2366 0.8426
0.0000 0.7366 0.1574
0.5000 0.2791 0.3403
0.5000 0.7791 0.6597
0.0000 0.9956 0.4557
0.0000 0.4956 0.5443

***

No. 3
LiTbGaSn PBE-GGA relaxed; ΔH_f (0 K) = -0.43 eV per atom
1.0
-4.9936 0.1933 0.5995
-2.3185 -3.3907 2.9087
-1.9513 1.3946 4.4249
Li Tb Sn Ga
1 1 1 1
Direct
0.0000 0.0000 0.0000
0.5000 0.5000 0.5000
0.2500 0.2500 0.2500
0.7500 0.7500 0.7500

***

No. 4
Li2GaTcSn PBE-GGA relaxed; ΔH_f (0 K) = 0.74 eV per atom
1.0
-3.6744 -2.9853 -0.9630
2.0271 -3.5055 3.1323
-2.4859 1.8668 3.6981
Ga Li Tc Sn
1 2 1 1
Direct
0.5000 0.5000 0.5000
0.5000 0.0000 0.0000
0.0000 0.0000 0.5000
0.0000 0.5000 0.0000
0.0000 0.0000 0.0000

***

No. 5
LiYGaSn PBE-GGA relaxed; ΔH_f (0 K) = -0.43 eV per atom
1.0
5.0307 0.0000 0.0000
2.5153 4.3567 0.0000
2.5153 1.4522 4.1075
Ga Li Sn Y
1 1 1 1
Direct
0.0000 0.0000 0.0000
0.2500 0.2500 0.2500
0.5000 0.5000 0.5000
0.7500 0.7500 0.7500

***

No. 6
Li2YGaSn2 PBE-GGA relaxed; ΔH_f (0 K) = -0.46 eV per atom
1.0
-1.4915 -3.5788 -2.1212
5.5591 0.4616 -4.6877
4.7105 -4.9833 5.0954
Sn Ga Li Y
4 2 4 2
Direct
0.0000 0.2393 0.8440
0.5000 0.2764 0.3418
0.5000 0.7764 0.6582
0.0000 0.7393 0.1560
0.5000 0.6736 0.3373
0.5000 0.1736 0.6627
0.5000 0.5198 0.9189
0.0000 0.8424 0.8447
0.5000 0.0198 0.0811
0.0000 0.3424 0.1553
0.0000 0.4941 0.5442
0.0000 0.9941 0.4558

***

| no. | electronic total energy (eV/cell) |
| --- | --- |
| 1 | -70.2 |
| 2 | -44.4 |
| 3 | -15.3 |
| 4 | -17.5 |
| 5 | -17.1 |
| 6 | -48.1 |